[1]
Entry from Alexandria: a relaxed structure of LiMoSe4 (PBE).

```
LiMoSe4
1.0
0.0000 4.0705 4.0705
4.0705 0.0000 4.0705
4.0705 4.0705 0.0000
Se Mo Li
4 1 1
direct
0.3746 0.3746 0.3746
0.3746 0.3746 0.8762
0.8762 0.3746 0.3746
0.3746 0.8762 0.3746
0.0000 0.0000 0.0000
0.7500 0.7500 0.7500
```

Values from the calculation:
E_form (uncorrected), eV per atom: 0.6931



[2]
Entry from Alexandria: a relaxed structure of Pr4DyTh3N8 (PBE).

```
Pr4DyTh3N8
1.0
-5.6717 -4.4235 -1.2820
3.3968 -5.3952 3.5880
-1.0621 6.4494 3.2643
Pr N Th Dy
4 8 3 1
direct
0.5000 0.0000 0.0000
0.0000 0.0000 0.5000
0.5000 0.0000 0.5000
0.0000 0.0000 0.0000
0.7435 0.7317 0.9876
0.2441 0.7318 0.4882
0.7442 0.7327 0.4885
0.2441 0.7317 0.9876
0.7559 0.2683 0.0124
0.7559 0.2682 0.5118
0.2558 0.2673 0.5115
0.2565 0.2683 0.0124
0.0000 0.5000 0.5000
0.5000 0.5000 0.5000
0.5000 0.5000 0.0000
0.0000 0.5000 0.0000
```

Values from the calculation:
E_form (uncorrected), eV per atom: -1.5008



[3]
Entry from Alexandria: a relaxed structure of BeCuOs2 (PBE).

```
BeCuOs2
1.0
3.6183 0.0000 0.0000
0.0000 3.6183 0.0000
1.8092 1.8092 8.6478
Os Be Cu
4 2 2
direct
0.3750 0.4023 0.7500
0.1523 0.6250 0.2500
0.5977 0.1250 0.2500
0.8750 0.8477 0.7500
0.5000 0.5000 0.0000
0.2500 0.7500 0.5000
0.0000 0.0000 0.0000
0.7500 0.2500 0.5000
```

Values from the calculation:
Formation energy, meV/atom: 722



[4]
Entry from Alexandria: a relaxed structure of Sc3InO (PBE).

```
Sc3InO
1.0
3.3310 0.0000 0.0000
0.0000 3.2834 -4.7524
0.0000 3.2834 4.7524
In O Sc
1 1 3
direct
0.0000 0.6512 0.3488
0.5000 0.0201 0.9799
0.5000 0.6436 0.8370
0.0000 0.1503 0.8497
0.5000 0.1630 0.3564
```

Values from the calculation:
E_form (uncorrected), eV per atom: -1.2951



[5]
Entry from Alexandria: a relaxed structure of RbHf2TiNb (PBE).

```
RbHf2TiNb
1.0
5.3003 0.0000 0.0000
0.0000 4.7965 0.0000
0.0000 0.0000 5.3003
Rb Hf Nb Ti
1 2 1 1
direct
0.5000 0.5000 0.5000
0.0000 0.0000 0.5000
0.5000 0.0000 0.0000
0.0000 0.5000 0.0000
0.0000 0.0000 0.0000
```

Values from the calculation:
Formation energy, meV/atom: 1316



[6]
Entry from Alexandria: a relaxed structure of NpGe (PBE).

```
NpGe
1.0
4.1219 0.0000 0.0000
2.0609 3.5697 0.0000
2.0609 1.1899 3.3655
Ge Np
1 1
direct
0.5000 0.5000 0.5000
0.0000 0.0000 0.0000
```

Values from the calculation:
Formation energy, meV/atom: 155



[7]
Entry from Alexandria: a relaxed structure of FeSi2Pt (PBE).

```
FeSi2Pt
1.0
2.7531 0.0108 0.0000
-0.0109 2.7531 0.0000
0.0000 0.0000 6.6294
Si Fe Pt
2 1 1
direct
0.0000 0.0000 0.4656
0.0000 0.0000 0.0344
0.5000 0.5000 0.2500
0.5000 0.5000 0.7500
```

Values from the calculation:
E_form (uncorrected), eV per atom: -0.2813



[8]
Entry from Alexandria: a relaxed structure of Th3Ag2Au4 (PBE).

```
Th3Ag2Au4
1.0
-0.3072 -0.5134 4.8102
-1.0441 -4.9715 -3.0396
8.6759 2.4636 0.8170
Au Th Ag
4 3 2
direct
0.9378 0.8756 0.6071
0.0622 0.1244 0.3929
0.7186 0.4372 0.0549
0.2814 0.5628 0.9451
0.3360 0.6721 0.3290
0.6640 0.3279 0.6710
0.0000 0.0000 0.0000
0.3837 0.7674 0.7166
0.6163 0.2326 0.2834
```

Values from the calculation:
Formation energy, meV/atom: -545



> What is the formula in the fourth record?

Sc3InO